[1]
VASP calculation (PBE with a Hubbard U) on a geometry-optimized Na2VC2O6 structure.

Lattice parameters (Å, degrees): 5.164 5.164 5.941 90.00 90.00 120.00
Positions (direct):
1 Na 0.333 0.667 0.321
2 Na 0.667 0.333 0.679
3 V 0.000 0.000 0.000
4 C 0.333 0.667 0.794
5 C 0.667 0.333 0.206
6 O 0.116 0.391 0.789
7 O 0.274 0.884 0.789
8 O 0.391 0.274 0.211
9 O 0.609 0.726 0.789
10 O 0.726 0.116 0.211
11 O 0.884 0.609 0.211

## Properties
V   137.2 Å³/cell
Electronic total energy   -76.279 eV/cell
Space group   P-3
Magnetic moment   3.00 μB/f.u.
Theoretical density   2.63 g/cm3

***

[2]
VASP calculation (PBE with a Hubbard U) on a geometry-optimized NaWCO5 structure.

Lattice parameters (Å, degrees): 5.240 5.240 7.269 105.78 105.78 103.90
Positions (direct):
1 Na 0.157 0.843 0.750
2 Na 0.843 0.157 0.250
3 W 0.500 0.500 0.000
4 W 0.500 0.500 0.500
5 C 0.186 0.814 0.250
6 C 0.814 0.186 0.750
7 O 0.089 0.252 0.891
8 O 0.185 0.624 0.356
9 O 0.252 0.089 0.391
10 O 0.376 0.815 0.144
11 O 0.420 0.580 0.750
12 O 0.580 0.420 0.250
13 O 0.624 0.185 0.856
14 O 0.748 0.911 0.609
15 O 0.815 0.376 0.644
16 O 0.911 0.748 0.109

## Properties
V   173.9 Å³/cell
Electronic total energy   -110.715 eV/cell
Space group   C2/c
Magnetic moment   1.00 μB/f.u.
Theoretical density   5.71 g/cm3